No. 1
The following is a DFT calculation (PBE-GGA) of crystalline Cs2SmSnTe4 at its relaxed geometry.

## Properties
Formation energy from raw total energies: -0.858 eV/atom
Total DFT energy (no corrections): -3.733 eV/atom

abc: 16.0873 14.4211 8.8189
angles: 83.92 63.05 33.03
With the nearest neighbours (Å) after each atom.
Fractional positions:
Cs1 0.0568 0.0568 0.6932  8 Te 4.15-4.36
Cs2 0.3068 0.3068 0.9432  8 Te 4.15-4.36
Cs3 0.6932 0.6932 0.0568  8 Te 4.15-4.36
Cs4 0.9432 0.9432 0.3068  8 Te 4.15-4.36
Sm1 0.1250 0.1250 0.1250  4 Te 2.99
Sm2 0.8750 0.8750 0.8750  4 Te 2.99
Sn1 0.3750 0.3750 0.3750  4 Te 2.95
Sn2 0.6250 0.6250 0.6250  4 Te 2.95
Te1 0.0350 0.3272 0.4311  1 Sn 2.95, 1 Sm 2.99
Te2 0.2933 0.5689 0.6728  1 Sn 2.95, 1 Sm 2.99
Te3 0.3272 0.0350 0.7067  1 Sn 2.95, 1 Sm 2.99
Te4 0.4311 0.7067 0.0350  1 Sn 2.95, 1 Sm 2.99
Te5 0.5689 0.2933 0.9650  1 Sn 2.95, 1 Sm 2.99
Te6 0.6728 0.9650 0.2933  1 Sn 2.95, 1 Sm 2.99
Te7 0.7067 0.4311 0.3272  1 Sn 2.95, 1 Sm 2.99
Te8 0.9650 0.6728 0.5689  1 Sn 2.95, 1 Sm 2.99

---

No. 2
The following is a DFT calculation (PBE-GGA) of crystalline CsSm2Sn3Te6 at its relaxed geometry.

## Properties
Formation energy from raw total energies: -0.741 eV/atom
Total DFT energy (no corrections): -4.170 eV/atom

abc: 10.2820 10.2820 9.8899
angles: 97.38 97.38 27.01
With the nearest neighbours (Å) after each atom.
Fractional positions:
Cs1 0.0000 0.0000 0.0000  6 Te 3.77-3.86
Sm1 0.3274 0.3274 0.6509  6 Te 3.02-3.32
Sm2 0.6726 0.6726 0.3491  6 Te 3.02-3.32
Sn1 0.0000 0.0000 0.5000  6 Te 3.19-3.26
Sn2 0.3358 0.3358 0.2325  3 Te 2.96-3.04
Sn3 0.6642 0.6642 0.7675  3 Te 2.96-3.04
Te1 0.1636 0.1636 0.5782  3 Sn 3.04-3.26, 3 Sm 3.26-3.32
Te2 0.1880 0.1880 0.1517  1 Sn 2.96, 2 Sm 3.14
Te3 0.4797 0.4797 0.7029  1 Sm 3.02, 2 Sn 3.19
Te4 0.5203 0.5203 0.2971  1 Sm 3.02, 2 Sn 3.19
Te5 0.8120 0.8120 0.8483  1 Sn 2.96, 2 Sm 3.14
Te6 0.8364 0.8364 0.4218  3 Sn 3.04-3.26, 3 Sm 3.26-3.32

---

No. 3
The following is a DFT calculation (PBE-GGA) of crystalline Cs3Sm2SnTe6 at its relaxed geometry.

## Properties
Formation energy from raw total energies: -1.102 eV/atom
Total DFT energy (no corrections): -4.006 eV/atom

abc: 8.0228 8.0228 9.3034
angles: 98.26 98.26 120.01
With the nearest neighbours (Å) after each atom.
Fractional positions:
Cs1 0.0000 0.0000 0.0000  6 Te 3.84-3.86
Cs2 0.3320 0.6680 0.0000  6 Te 3.84-3.85
Cs3 0.6680 0.3320 0.0000  6 Te 3.84-3.85
Sm1 0.1665 0.8335 0.5000  6 Te 3.18
Sm2 0.8335 0.1665 0.5000  6 Te 3.18
Sn1 0.5000 0.5000 0.5000  6 Te 3.14-3.15
Te1 0.1067 0.4368 0.3103  1 Sn 3.14, 2 Sm 3.18
Te2 0.2335 0.2335 0.6907  1 Sn 3.15, 2 Sm 3.18
Te3 0.4368 0.1067 0.3103  1 Sn 3.14, 2 Sm 3.18
Te4 0.5632 0.8933 0.6897  1 Sn 3.14, 2 Sm 3.18
Te5 0.7665 0.7665 0.3093  1 Sn 3.15, 2 Sm 3.18
Te6 0.8933 0.5632 0.6897  1 Sn 3.14, 2 Sm 3.18

---

No. 4
The following is a DFT calculation (PBE-GGA) of crystalline CsTbSm2 at its relaxed geometry.

## Properties
ΔE_f: 0.292 eV per atom
Total DFT energy (no corrections): -3.438 eV/atom

abc: 13.4775 13.4775 13.4775
angles: 15.76 15.76 15.76
With the nearest neighbours (Å) after each atom.
Fractional positions:
Cs1 0.0000 0.0000 0.0000  6 Cs 3.69, 2 Sm 3.82
Tb1 0.5000 0.5000 0.5000  6 Sm 3.55, 6 Tb 3.69
Sm1 0.0956 0.0956 0.0956  3 Tb 3.55, 6 Sm 3.69, 1 Cs 3.82
Sm2 0.9044 0.9044 0.9044  3 Tb 3.55, 6 Sm 3.69, 1 Cs 3.82

---

No. 5
The following is a DFT calculation (PBE-GGA) of crystalline Cs3Tb2SmTe6 at its relaxed geometry.

## Properties
Formation energy from raw total energies: -1.398 eV/atom
Total DFT energy (no corrections): -4.347 eV/atom

abc: 7.9505 7.9505 9.3130
angles: 98.18 98.18 120.00
With the nearest neighbours (Å) after each atom.
Fractional positions:
Cs1 0.0000 0.0000 0.0000  6 Te 3.81-3.83
Cs2 0.3343 0.6657 0.0000  6 Te 3.81-3.83
Cs3 0.6657 0.3343 0.0000  6 Te 3.81-3.83
Tb1 0.1668 0.8332 0.5000  6 Te 3.14
Tb2 0.8332 0.1668 0.5000  6 Te 3.14
Sm1 0.5000 0.5000 0.5000  6 Te 3.18
Te1 0.0992 0.4362 0.3087  2 Tb 3.14, 1 Sm 3.18
Te2 0.2266 0.2266 0.6909  2 Tb 3.14, 1 Sm 3.18
Te3 0.4362 0.0992 0.3087  2 Tb 3.14, 1 Sm 3.18
Te4 0.5638 0.9008 0.6913  2 Tb 3.14, 1 Sm 3.18
Te5 0.7734 0.7734 0.3091  2 Tb 3.14, 1 Sm 3.18
Te6 0.9008 0.5638 0.6913  2 Tb 3.14, 1 Sm 3.18

---

No. 6
The following is a DFT calculation (PBE-GGA) of crystalline Cs3TbSm3Te8 at its relaxed geometry.

## Properties
Formation energy from raw total energies: -1.335 eV/atom
Total DFT energy (no corrections): -4.433 eV/atom

abc: 9.0064 9.0064 10.5914
angles: 115.20 115.20 59.99
With the nearest neighbours (Å) after each atom.
Fractional positions:
Cs1 0.0000 0.0000 0.0000  6 Te 3.83-3.85
Cs2 0.0000 0.5000 0.0000  6 Te 3.84-3.85
Cs3 0.5000 0.0000 0.0000  6 Te 3.84-3.85
Tb1 0.0000 0.0000 0.5000  6 Te 3.13
Sm1 0.0000 0.5000 0.5000  6 Te 3.15-3.16
Sm2 0.5000 0.0000 0.5000  6 Te 3.15-3.16
Sm3 0.5000 0.5000 0.5000  6 Te 3.15-3.16
Te1 0.2295 0.7331 0.6918  1 Tb 3.13, 2 Sm 3.15
Te2 0.2295 0.2295 0.6918  1 Tb 3.13, 2 Sm 3.15
Te3 0.2669 0.7705 0.3082  1 Tb 3.13, 2 Sm 3.15
Te4 0.2684 0.2684 0.3056  3 Sm 3.16
Te5 0.7316 0.7316 0.6944  3 Sm 3.16
Te6 0.7331 0.2295 0.6918  1 Tb 3.13, 2 Sm 3.15
Te7 0.7705 0.7705 0.3082  1 Tb 3.13, 2 Sm 3.15
Te8 0.7705 0.2669 0.3082  1 Tb 3.13, 2 Sm 3.15

---

No. 7
The following is a DFT calculation (PBE-GGA) of crystalline Cs3Tb3SmTe8 at its relaxed geometry.

## Properties
Formation energy from raw total energies: -1.332 eV/atom
Total DFT energy (no corrections): -4.419 eV/atom

abc: 10.5447 10.5447 10.5447
angles: 50.07 50.07 50.07
With the nearest neighbours (Å) after each atom.
Fractional positions:
Cs1 0.0000 0.5000 0.5000  6 Te 3.84
Cs2 0.5000 0.0000 0.5000  6 Te 3.84
Cs3 0.5000 0.5000 0.0000  6 Te 3.84
Tb1 0.0000 0.0000 0.5000  6 Te 3.11-3.12
Tb2 0.0000 0.5000 0.0000  6 Te 3.11-3.12
Tb3 0.5000 0.0000 0.0000  6 Te 3.11-3.12
Sm1 0.5000 0.5000 0.5000  6 Te 3.16
Te1 0.2247 0.7338 0.7338  2 Tb 3.11, 1 Sm 3.16
Te2 0.2303 0.2303 0.2303  3 Tb 3.12
Te3 0.2662 0.2662 0.7753  2 Tb 3.11, 1 Sm 3.16
Te4 0.2662 0.7753 0.2662  2 Tb 3.11, 1 Sm 3.16
Te5 0.7338 0.2247 0.7338  2 Tb 3.11, 1 Sm 3.16
Te6 0.7338 0.7338 0.2247  2 Tb 3.11, 1 Sm 3.16
Te7 0.7697 0.7697 0.7697  3 Tb 3.12
Te8 0.7753 0.2662 0.2662  2 Tb 3.11, 1 Sm 3.16

---

No. 8
The following is a DFT calculation (PBE-GGA) of crystalline Cs4Tb3SmTe8 at its relaxed geometry.

## Properties
Formation energy from raw total energies: -1.396 eV/atom
Total DFT energy (no corrections): -4.344 eV/atom

abc: 10.3792 10.3792 10.3792
angles: 52.43 52.43 52.43
With the nearest neighbours (Å) after each atom.
Fractional positions:
Cs1 0.0000 0.0000 0.0000  6 Te 3.80
Cs2 0.0000 0.5000 0.5000  6 Te 3.83
Cs3 0.5000 0.0000 0.5000  6 Te 3.83
Cs4 0.5000 0.5000 0.0000  6 Te 3.83
Tb1 0.0000 0.0000 0.5000  6 Te 3.14
Tb2 0.0000 0.5000 0.0000  6 Te 3.14
Tb3 0.5000 0.0000 0.0000  6 Te 3.14
Sm1 0.5000 0.5000 0.5000  6 Te 3.17
Te1 0.2271 0.7321 0.7321  2 Tb 3.14, 1 Sm 3.17
Te2 0.2300 0.2300 0.2300  3 Tb 3.14
Te3 0.2679 0.2679 0.7729  2 Tb 3.14, 1 Sm 3.17
Te4 0.2679 0.7729 0.2679  2 Tb 3.14, 1 Sm 3.17
Te5 0.7321 0.2271 0.7321  2 Tb 3.14, 1 Sm 3.17
Te6 0.7321 0.7321 0.2271  2 Tb 3.14, 1 Sm 3.17
Te7 0.7700 0.7700 0.7700  3 Tb 3.14
Te8 0.7729 0.2679 0.2679  2 Tb 3.14, 1 Sm 3.17

---

No. 9
The following is a DFT calculation (PBE-GGA) of crystalline Cs2Sm3Te6 at its relaxed geometry.

## Properties
Formation energy from raw total energies: -1.311 eV/atom
Total DFT energy (no corrections): -4.467 eV/atom

abc: 7.7627 7.7627 9.6664
angles: 97.70 97.70 120.01
With the nearest neighbours (Å) after each atom.
Fractional positions:
Cs1 0.1665 0.8335 0.0000  6 Te 3.86
Cs2 0.8335 0.1665 0.0000  6 Te 3.86
Sm1 0.0000 0.0000 0.5000  6 Te 3.15-3.16
Sm2 0.3327 0.6673 0.5000  6 Te 3.15-3.16
Sm3 0.6673 0.3327 0.5000  6 Te 3.15-3.16
Te1 0.0666 0.3980 0.6936  3 Sm 3.15-3.16
Te2 0.2709 0.2709 0.3070  3 Sm 3.15-3.16
Te3 0.3980 0.0666 0.6936  3 Sm 3.15-3.16
Te4 0.6020 0.9334 0.3064  3 Sm 3.15-3.16
Te5 0.7291 0.7291 0.6930  3 Sm 3.15-3.16
Te6 0.9334 0.6020 0.3064  3 Sm 3.15-3.16

---

No. 10
The following is a DFT calculation (PBE-GGA) of crystalline Cs3SmTe3 at its relaxed geometry.

## Properties
Formation energy from raw total energies: -1.216 eV/atom
Total DFT energy (no corrections): -3.603 eV/atom

abc: 9.6491 9.6491 9.3949
angles: 96.00 96.00 113.73
With the nearest neighbours (Å) after each atom.
Fractional positions:
Cs1 0.1776 0.8224 0.0000  6 Te 3.83-4.22
Cs2 0.2460 0.7540 0.5000  4 Te 3.96-4.07
Cs3 0.3849 0.3849 0.1361  5 Te 3.70-4.10, 1 Cs 3.85
Cs4 0.6151 0.6151 0.8639  5 Te 3.70-4.10, 1 Cs 3.85
Cs5 0.7540 0.2460 0.5000  4 Te 3.96-4.07
Cs6 0.8224 0.1776 0.0000  6 Te 3.83-4.22
Sm1 0.1771 0.1771 0.6425  4 Te 2.95-3.06
Sm2 0.8229 0.8229 0.3575  4 Te 2.95-3.06
Te1 0.0995 0.0995 0.3118  2 Sm 3.03-3.06
Te2 0.1594 0.4583 0.7774  1 Sm 2.95
Te3 0.4583 0.1594 0.7774  1 Sm 2.95
Te4 0.5417 0.8406 0.2226  1 Sm 2.95
Te5 0.8406 0.5417 0.2226  1 Sm 2.95
Te6 0.9005 0.9005 0.6882  2 Sm 3.03-3.06

---

Among the records above, which one has the highest total DFT energy (no corrections)? CsTbSm2